1.
Here is an optimized crystal structure of NaInTe2 from the Alexandria database. Energies are from GGA-PBEsol.

Calculated values
formation energy without anion corrections = -0.5574 eV per atom
ρ = 5.46 g/cm³
total magnetization = 0.000 μB/atom

Cell and atoms, written as POSCAR:
```
NaInTe2
1.0
8.197 0.000 0.000
0.000 8.197 0.000
0.000 0.000 7.115
Na In Te
4 4 8
Direct
0.000 0.000 0.250
0.000 0.000 0.750
0.500 0.500 0.250
0.500 0.500 0.750
0.000 0.500 0.250
0.000 0.500 0.750
0.500 0.000 0.250
0.500 0.000 0.750
0.189 0.311 0.000
0.189 0.689 0.500
0.311 0.189 0.500
0.311 0.811 0.000
0.689 0.189 0.000
0.689 0.811 0.500
0.811 0.311 0.500
0.811 0.689 0.000
```

=====

2.
Here is an optimized crystal structure of AlGeC3 from the Alexandria database. Energies are from GGA-PBEsol.

Calculated values
DFT formation energy = 2.3337 eV/atom
ρ = 3.74 g/cm³
total magnetization = 0.000 μB/atom

Cell and atoms, written as POSCAR:
```
AlGeC3
1.0
3.921 0.000 0.000
0.000 3.921 0.000
0.000 0.000 3.921
Al Ge C
1 1 3
Direct
0.000 0.000 0.000
0.500 0.500 0.500
0.000 0.000 0.500
0.000 0.500 0.000
0.500 0.000 0.000
```

=====

> Look up the ρ of the first one.

5.46 g/cm³

=====

> Which of these has the lowest ρ?

AlGeC3